# 1
# Ac4Sm3YSe8 PBE relaxed
# Calculated total energy ... -5.88 eV/atom
# Energy relative to the elements, uncorrected ... -1825 meV per atom
# Space group ... R-3m
data_Ac4Sm3YSe8
_chemical_formula_sum 'Ac4 Sm3 Y1 Se8'
_cell_length_a 8.6940
_cell_length_b 8.6940
_cell_length_c 8.6940
_cell_angle_alpha 58.84
_cell_angle_beta 58.84
_cell_angle_gamma 58.84
_symmetry_space_group_name_H-M 'P 1'
_symmetry_Int_Tables_number 1
loop_
_symmetry_equiv_pos_as_xyz
'x,y,z'
loop_
_atom_site_label
_atom_site_type_symbol
_atom_site_fract_x
_atom_site_fract_y
_atom_site_fract_z
Ac1 Ac 0.0000 0.0000 0.0000
Ac2 Ac 0.0000 0.5000 0.5000
Ac3 Ac 0.5000 0.0000 0.5000
Ac4 Ac 0.5000 0.5000 0.0000
Sm1 Sm 0.0000 0.0000 0.5000
Sm2 Sm 0.0000 0.5000 0.0000
Sm3 Sm 0.5000 0.0000 0.0000
Y1 Y 0.5000 0.5000 0.5000
Se1 Se 0.2431 0.2431 0.2431
Se2 Se 0.2461 0.7401 0.7401
Se3 Se 0.2599 0.2599 0.7539
Se4 Se 0.2599 0.7539 0.2599
Se5 Se 0.7401 0.2461 0.7401
Se6 Se 0.7401 0.7401 0.2461
Se7 Se 0.7539 0.2599 0.2599
Se8 Se 0.7569 0.7569 0.7569



# 2
# Ac2SmYSe6 PBE relaxed
# Calculated total energy ... -5.95 eV/atom
# Energy relative to the elements, uncorrected ... -1922 meV per atom
# Space group ... R3
data_Ac2SmYSe6
_chemical_formula_sum 'Ac2 Sm1 Y1 Se6'
_cell_length_a 7.8991
_cell_length_b 7.8991
_cell_length_c 7.8991
_cell_angle_alpha 57.64
_cell_angle_beta 57.64
_cell_angle_gamma 57.64
_symmetry_space_group_name_H-M 'P 1'
_symmetry_Int_Tables_number 1
loop_
_symmetry_equiv_pos_as_xyz
'x,y,z'
loop_
_atom_site_label
_atom_site_type_symbol
_atom_site_fract_x
_atom_site_fract_y
_atom_site_fract_z
Ac1 Ac 0.0000 0.0000 0.0000
Ac2 Ac 0.4992 0.4992 0.4992
Sm1 Sm 0.2092 0.2092 0.2092
Y1 Y 0.7081 0.7081 0.7081
Se1 Se 0.0718 0.4287 0.8370
Se2 Se 0.3402 0.9227 0.5775
Se3 Se 0.4287 0.8369 0.0718
Se4 Se 0.5775 0.3402 0.9227
Se5 Se 0.8370 0.0718 0.4287
Se6 Se 0.9227 0.5775 0.3402



# 3
# Ac2SmYSe4 PBE relaxed
# Calculated total energy ... -5.99 eV/atom
# Energy relative to the elements, uncorrected ... -1821 meV per atom
# Space group ... P2/m
data_Ac2SmYSe4
_chemical_formula_sum 'Ac2 Sm1 Y1 Se4'
_cell_length_a 7.3080
_cell_length_b 4.1935
_cell_length_c 7.7092
_cell_angle_alpha 90.00
_cell_angle_beta 108.27
_cell_angle_gamma 90.00
_symmetry_space_group_name_H-M 'P 1'
_symmetry_Int_Tables_number 1
loop_
_symmetry_equiv_pos_as_xyz
'x,y,z'
loop_
_atom_site_label
_atom_site_type_symbol
_atom_site_fract_x
_atom_site_fract_y
_atom_site_fract_z
Ac1 Ac 0.0000 0.0000 0.0000
Ac2 Ac 0.5000 0.5000 0.0000
Sm1 Sm 0.0000 0.5000 0.5000
Y1 Y 0.5000 0.0000 0.5000
Se1 Se 0.2456 0.0000 0.7259
Se2 Se 0.2629 0.5000 0.2767
Se3 Se 0.7371 0.5000 0.7233
Se4 Se 0.7544 0.0000 0.2741



# 4
# Ac2SnSe PBE relaxed
# Calculated total energy ... -5.06 eV/atom
# Energy relative to the elements, uncorrected ... -1136 meV per atom
# Space group ... P4/mmm
data_Ac2SnSe
_chemical_formula_sum 'Ac2 Sn1 Se1'
_cell_length_a 3.8263
_cell_length_b 3.8263
_cell_length_c 8.5170
_cell_angle_alpha 90.00
_cell_angle_beta 90.00
_cell_angle_gamma 90.00
_symmetry_space_group_name_H-M 'P 1'
_symmetry_Int_Tables_number 1
loop_
_symmetry_equiv_pos_as_xyz
'x,y,z'
loop_
_atom_site_label
_atom_site_type_symbol
_atom_site_fract_x
_atom_site_fract_y
_atom_site_fract_z
Ac1 Ac 0.0000 0.0000 0.2338
Ac2 Ac 0.0000 0.0000 0.7662
Sn1 Sn 0.5000 0.5000 0.5000
Se1 Se 0.5000 0.5000 0.0000